Entry 1:
# InAgSb2 (PBE, optimized geometry)
data_InAgSb2
_chemical_formula_sum 'In4 Ag4 Sb8'
_cell_length_a 7.4115
_cell_length_b 7.4115
_cell_length_c 7.4115
_cell_angle_alpha 90.00
_cell_angle_beta 90.00
_cell_angle_gamma 90.00
_symmetry_space_group_name_H-M 'F -4 3 m'
_symmetry_Int_Tables_number 216
_symmetry_space_group_name_Hall 'F -4 2 3'
loop_
_atom_site_label
_atom_site_type_symbol
_atom_site_fract_x
_atom_site_fract_y
_atom_site_fract_z
In1 In 0.0000 0.0000 0.0000
Ag1 Ag 0.2500 0.2500 0.7500
Sb1 Sb 0.0000 0.0000 0.5000
Sb2 Sb 0.2500 0.2500 0.2500
# - total magnetic moment (μB per formula unit) = 0.00
# - ρ (Mg/m³) = 7.6
# - uncorrected formation energy (eV/f.u.) = 0.916
# - raw total energy (eV per cell) = -51.7



Entry 2:
# InAgSb2 (PBE, optimized geometry)
data_InAgSb2
_chemical_formula_sum 'In1 Ag1 Sb2'
_cell_length_a 4.5810
_cell_length_b 4.5810
_cell_length_c 4.8726
_cell_angle_alpha 90.00
_cell_angle_beta 90.00
_cell_angle_gamma 90.00
_symmetry_space_group_name_H-M 'P 4/m m m'
_symmetry_Int_Tables_number 123
_symmetry_space_group_name_Hall '-P 4 2'
loop_
_atom_site_label
_atom_site_type_symbol
_atom_site_fract_x
_atom_site_fract_y
_atom_site_fract_z
In1 In 0.0000 0.0000 0.0000
Ag1 Ag 0.5000 0.5000 0.0000
Sb1 Sb 0.0000 0.5000 0.5000
# - total magnetic moment (μB per formula unit) = 0.00
# - ρ (Mg/m³) = 7.6
# - uncorrected formation energy (eV/f.u.) = 0.792
# - raw total energy (eV per cell) = -13.0



Entry 3:
# InAg3Sb (PBE, optimized geometry)
data_InAg3Sb
_chemical_formula_sum 'In1 Ag3 Sb1'
_cell_length_a 5.3002
_cell_length_b 5.3002
_cell_length_c 5.3002
_cell_angle_alpha 90.00
_cell_angle_beta 90.00
_cell_angle_gamma 90.00
_symmetry_space_group_name_H-M 'P m -3 m'
_symmetry_Int_Tables_number 221
_symmetry_space_group_name_Hall '-P 4 2 3'
loop_
_atom_site_label
_atom_site_type_symbol
_atom_site_fract_x
_atom_site_fract_y
_atom_site_fract_z
In1 In 0.0000 0.0000 0.0000
Ag1 Ag 0.0000 0.5000 0.5000
Sb1 Sb 0.5000 0.5000 0.5000
# - total magnetic moment (μB per formula unit) = 0.00
# - ρ (Mg/m³) = 6.2
# - offset from the most stable computed form (eV per atom) = 0.000
# - uncorrected formation energy (eV/f.u.) = 1.790
# - raw total energy (eV per cell) = -13.6